No. 1
Sc2GaSe PBE optimized geometry; formation energy without anion corrections = -0.97 eV per atom; energy above the most stable polymorph in this dataset = 184 meV/atom; space-group type = No. 160
1.0
1.809 1.045 7.454
-1.809 1.045 7.454
0.000 -2.089 7.454
Sc Ga Se
2 1 1
direct
0.000 0.000 0.000
0.181 0.181 0.181
0.423 0.423 0.423
0.592 0.592 0.592

=====

No. 2
K3Pa3CuSe8 PBE optimized geometry; formation energy without anion corrections = -1.19 eV per atom; space-group type = No. 12
1.0
6.909 -4.328 0.000
6.909 4.328 0.000
-4.308 0.000 7.786
K Pa Cu Se
3 3 1 8
direct
0.000 0.000 0.000
0.000 0.500 0.000
0.500 0.000 0.000
0.000 0.500 0.500
0.500 0.000 0.500
0.500 0.500 0.500
0.000 0.000 0.500
0.202 0.202 0.673
0.254 0.703 0.714
0.261 0.261 0.290
0.297 0.746 0.286
0.703 0.254 0.714
0.739 0.739 0.710
0.746 0.297 0.286
0.798 0.798 0.327

=====

No. 3
Pm3Dy3TlHg2 PBE optimized geometry; calculated formation energy = -0.24 eV per atom; space-group type = No. 189
1.0
8.919 0.000 0.000
-4.460 7.724 0.000
0.000 0.000 3.838
Pm Dy Tl Hg
3 3 1 2
direct
0.000 0.710 0.000
0.290 0.290 0.000
0.710 0.000 0.000
0.000 0.384 0.500
0.384 0.000 0.500
0.616 0.616 0.500
0.000 0.000 0.500
0.333 0.667 0.000
0.667 0.333 0.000

=====

No. 4
MgZr2Cd PBE optimized geometry; calculated formation energy = -0.03 eV per atom; space-group type = No. 139
1.0
-2.184 2.184 4.552
2.184 -2.184 4.552
2.184 2.184 -4.552
Mg Zr Cd
1 2 1
direct
0.000 0.000 0.000
0.250 0.750 0.500
0.750 0.250 0.500
0.500 0.500 0.000

=====

No. 5
CaTb2Nd PBE optimized geometry; calculated formation energy = 0.16 eV per atom; energy above the most stable polymorph in this dataset = 100 meV/atom; space-group type = No. 166
1.0
1.791 1.034 12.703
-1.791 1.034 12.703
0.000 -2.068 12.703
Ca Tb Nd
1 2 1
direct
0.000 0.000 0.000
0.090 0.090 0.090
0.910 0.910 0.910
0.500 0.500 0.500

=====

No. 6
Fe2PdRh2 PBE optimized geometry; calculated formation energy = 0.08 eV per atom; energy above the most stable polymorph in this dataset = 0 meV/atom; space-group type = No. 127
1.0
7.127 0.000 0.000
0.000 7.127 0.000
0.000 0.000 2.826
Fe Pd Rh
4 2 4
direct
0.146 0.354 0.000
0.354 0.854 0.000
0.646 0.146 0.000
0.854 0.646 0.000
0.000 0.000 0.000
0.500 0.500 0.000
0.151 0.651 0.500
0.349 0.151 0.500
0.651 0.849 0.500
0.849 0.349 0.500

=====

No. 7
KTc2Au PBE optimized geometry; calculated formation energy = 1.03 eV per atom; energy above the most stable polymorph in this dataset = 607 meV/atom; space-group type = No. 123
1.0
3.591 0.000 0.000
0.000 3.591 0.000
0.000 0.000 7.510
K Tc Au
1 2 1
direct
0.000 0.000 0.000
0.500 0.500 0.355
0.500 0.500 0.645
0.000 0.000 0.500

=====

No. 8
Ac4AsP2Cl PBE optimized geometry; formation energy without anion corrections = -1.53 eV per atom; space-group type = No. 139
1.0
-3.137 3.137 6.281
3.137 -3.137 6.281
3.137 3.137 -6.281
Ac As P Cl
4 1 2 1
direct
0.000 0.500 0.500
0.243 0.243 0.000
0.500 0.000 0.500
0.757 0.757 0.000
0.000 0.000 0.000
0.250 0.750 0.500
0.750 0.250 0.500
0.500 0.500 0.000

=====

No. 9
TbAgPtAu PBE optimized geometry; calculated formation energy = -0.65 eV per atom; space-group type = No. 216
1.0
0.000 3.418 3.418
3.418 0.000 3.418
3.418 3.418 0.000
Tb Ag Pt Au
1 1 1 1
direct
0.000 0.000 0.000
0.500 0.500 0.500
0.250 0.250 0.250
0.750 0.750 0.750

=====

No. 10
PmTc2Ge2 PBE optimized geometry; calculated formation energy = -0.48 eV per atom; energy above the most stable polymorph in this dataset = 0 meV/atom; space-group type = No. 74
1.0
-2.089 2.094 10.851
2.089 -2.094 10.851
2.089 2.094 -10.851
Pm Tc Ge
2 4 4
direct
0.411 0.161 0.250
0.589 0.839 0.750
0.215 0.965 0.250
0.286 0.536 0.750
0.714 0.464 0.250
0.785 0.035 0.750
0.030 0.280 0.750
0.146 0.396 0.750
0.854 0.604 0.250
0.970 0.720 0.250

=====

No. 11
FeHgAs2 PBE optimized geometry; calculated formation energy = 0.62 eV per atom; space-group type = No. 216
1.0
0.000 3.352 3.352
3.352 0.000 3.352
3.352 3.352 0.000
Fe Hg As
1 1 2
direct
0.000 0.000 0.000
0.750 0.750 0.750
0.250 0.250 0.250
0.500 0.500 0.500

=====

No. 12
IrOs6W4 PBE optimized geometry; calculated formation energy = 0.45 eV per atom; space-group type = No. 12
1.0
2.478 -4.009 0.000
2.478 4.009 0.000
-0.649 0.000 8.834
Ir Os W
1 6 4
direct
0.000 0.000 0.000
0.257 0.743 0.500
0.265 0.265 0.686
0.336 0.664 0.000
0.664 0.336 0.000
0.735 0.735 0.314
0.743 0.257 0.500
0.034 0.373 0.243
0.373 0.034 0.243
0.627 0.966 0.757
0.966 0.627 0.757

=====

No. 13
Rb4HgBr6 PBE optimized geometry; formation energy without anion corrections = -1.38 eV per atom; space-group type = No. 9
1.0
8.379 -4.334 0.000
8.379 4.334 0.000
-6.597 0.000 14.776
Rb Hg Br
8 2 12
direct
0.059 0.472 0.832
0.136 0.864 0.500
0.270 0.585 0.178
0.472 0.059 0.332
0.487 0.804 0.980
0.585 0.270 0.678
0.804 0.487 0.480
0.864 0.136 0.000
0.472 0.941 0.738
0.941 0.472 0.238
0.118 0.478 0.412
0.200 0.723 0.998
0.205 0.235 0.140
0.235 0.205 0.640
0.331 0.752 0.714
0.405 0.788 0.380
0.478 0.118 0.912
0.723 0.200 0.498
0.752 0.331 0.214
0.780 0.802 0.695
0.788 0.405 0.880
0.802 0.780 0.195

=====

No. 14
CaPt2Rh PBE optimized geometry; calculated formation energy = -0.32 eV per atom; space-group type = No. 119
1.0
-2.052 2.052 4.080
2.052 -2.052 4.080
2.052 2.052 -4.080
Ca Pt Rh
1 2 1
direct
0.000 0.000 0.000
0.500 0.500 0.000
0.750 0.250 0.500
0.250 0.750 0.500

=====

No. 15
SrSbAs4 PBE optimized geometry; formation energy without anion corrections = -0.08 eV per atom; space-group type = No. 216
1.0
0.000 4.165 4.165
4.165 0.000 4.165
4.165 4.165 0.000
Sr Sb As
1 1 4
direct
0.000 0.000 0.000
0.250 0.250 0.250
0.159 0.614 0.614
0.614 0.159 0.614
0.614 0.614 0.159
0.614 0.614 0.614

=====

No. 16
LaTm3Ga2 PBE optimized geometry; calculated formation energy = -0.34 eV per atom; energy above the most stable polymorph in this dataset = 68 meV/atom; space-group type = No. 12
1.0
7.977 -2.573 0.000
7.977 2.573 0.000
-4.053 0.000 7.838
La Tm Ga
2 6 4
direct
0.133 0.133 0.191
0.867 0.867 0.809
0.065 0.065 0.716
0.313 0.313 0.015
0.381 0.381 0.490
0.619 0.619 0.510
0.687 0.687 0.985
0.935 0.935 0.284
0.223 0.223 0.616
0.488 0.488 0.849
0.512 0.512 0.151
0.777 0.777 0.384

=====

No. 17
Sm2TePd PBE optimized geometry; formation energy without anion corrections = -1.07 eV per atom; energy above the most stable polymorph in this dataset = 0 meV/atom; space-group type = No. 63
1.0
2.040 -11.702 0.000
2.040 11.702 0.000
0.000 0.000 4.624
Sm Te Pd
4 2 2
direct
0.058 0.942 0.750
0.332 0.668 0.750
0.668 0.332 0.250
0.942 0.058 0.250
0.194 0.806 0.750
0.806 0.194 0.250
0.461 0.539 0.750
0.539 0.461 0.250

=====

No. 18
Li2Zn2Ir PBE optimized geometry; calculated formation energy = -0.15 eV per atom; energy above the most stable polymorph in this dataset = 110 meV/atom; space-group type = No. 72
1.0
-2.247 6.236 2.598
2.247 -6.236 2.598
2.247 6.236 -2.598
Li Zn Ir
4 4 2
direct
0.094 0.003 0.097
0.406 0.503 0.909
0.594 0.497 0.091
0.906 0.997 0.903
0.188 0.504 0.692
0.312 0.004 0.316
0.688 0.996 0.684
0.812 0.496 0.308
0.250 0.750 0.500
0.750 0.250 0.500

=====

No. 19
Nb2ReN PBE optimized geometry; formation energy without anion corrections = -0.46 eV per atom; space-group type = No. 166
1.0
1.535 0.886 6.946
-1.535 0.886 6.946
0.000 -1.772 6.946
Nb Re N
2 1 1
direct
0.228 0.228 0.228
0.772 0.772 0.772
0.000 0.000 0.000
0.500 0.500 0.500

=====

No. 20
YCo2Br PBE optimized geometry; formation energy without anion corrections = 0.40 eV per atom; energy above the most stable polymorph in this dataset = 693 meV/atom; space-group type = No. 65
1.0
2.669 -4.218 0.000
2.669 4.218 0.000
0.000 0.000 3.478
Y Co Br
1 2 1
direct
0.000 0.000 0.000
0.000 0.500 0.500
0.500 0.000 0.500
0.500 0.500 0.000

=====

No. 21
Ca3PtI3 PBE optimized geometry; formation energy without anion corrections = -1.28 eV per atom; space-group type = No. 11
1.0
9.052 0.000 0.000
0.000 4.366 0.000
-0.260 0.000 12.452
Ca Pt I
6 2 6
direct
0.099 0.250 0.389
0.129 0.250 0.851
0.329 0.750 0.628
0.671 0.250 0.372
0.871 0.750 0.149
0.901 0.750 0.611
0.116 0.250 0.621
0.884 0.750 0.379
0.124 0.250 0.123
0.373 0.750 0.878
0.387 0.750 0.373
0.613 0.250 0.627
0.627 0.250 0.122
0.876 0.750 0.877

=====

No. 22
Li4TbEr3Se8 PBE optimized geometry; formation energy without anion corrections = -1.70 eV per atom; space-group type = No. 166
1.0
4.049 2.338 6.493
-4.049 2.338 6.493
0.000 -4.676 6.493
Li Tb Er Se
4 1 3 8
direct
0.000 0.000 0.000
0.000 0.500 0.500
0.500 0.000 0.500
0.500 0.500 0.000
0.500 0.500 0.500
0.000 0.000 0.500
0.000 0.500 0.000
0.500 0.000 0.000
0.248 0.248 0.752
0.248 0.752 0.248
0.248 0.752 0.752
0.250 0.250 0.250
0.750 0.750 0.750
0.752 0.248 0.248
0.752 0.248 0.752
0.752 0.752 0.248

=====

No. 23
Sb2TeCl PBE optimized geometry; formation energy without anion corrections = -0.01 eV per atom; energy above the most stable polymorph in this dataset = 143 meV/atom; space-group type = No. 99
1.0
3.984 0.000 0.000
0.000 3.984 0.000
0.000 0.000 7.358
Sb Te Cl
2 1 1
direct
0.000 0.000 0.000
0.500 0.500 0.214
0.000 0.000 0.404
0.500 0.500 0.734

=====

No. 24
TlCuSe2 PBE optimized geometry; formation energy without anion corrections = -0.11 eV per atom; space-group type = No. 71
1.0
-1.877 3.280 4.120
1.877 -3.280 4.120
1.877 3.280 -4.120
Tl Cu Se
1 1 2
direct
0.000 0.000 0.000
0.500 0.500 0.000
0.323 0.823 0.500
0.677 0.177 0.500

=====

no.,D(E_F) (states/eV/f.u.),theoretical density (g/cm3)
1,3.08,4.7
2,15.06,5.4
3,12.02,9.6
4,4.94,6.1
5,6.14,5.9
6,5.06,9.8
7,6.03,7.4
8,2.08,7.3
9,0.86,13.7
10,1.40,8.5
11,4.51,9.0
12,10.36,19.6
13,0.00,3.2
14,5.70,12.9
15,2.77,5.9
16,5.02,8.1
17,3.00,8.0
18,1.51,7.7
19,2.25,11.3
20,6.23,6.1
21,3.21,4.7
22,0.00,5.9
23,1.58,5.8
24,1.60,7.0